Density functional theory data (PBE) for a relaxed structure of PrInSn.

The structure in CIF format:
```
data_PrInSn
_chemical_formula_sum 'Pr1 In1 Sn1'
_space_group_name_H-M_alt 'P 1'
_space_group_IT_number 1
_space_group_name_Hall 'P 1'
_cell_length_a 5.153
_cell_length_b 5.153
_cell_length_c 5.153
_cell_angle_alpha 60.00
_cell_angle_beta 60.00
_cell_angle_gamma 60.00
loop_
_atom_site_label
_atom_site_type_symbol
_atom_site_fract_x
_atom_site_fract_y
_atom_site_fract_z
Pr1 Pr 0.250 0.250 0.250
In1 In 0.750 0.750 0.750
Sn1 Sn 0.000 0.000 0.000
```

space-group type: No. 216
total magnetic moment: 0.00 Bohr magnetons per cell
final energy: -4.07 eV per atom